Record 1
# AcPmSnIr

AcPmSnIr after structural relaxation (PBE-GGA, the Alexandria database).

Cell lengths 5.3879, 5.3879, 5.3879 Å; angles 60.00, 60.00, 60.00 degrees
Positions (direct):
1 Ac 0.0000 0.0000 0.0000
2 Pm 0.5000 0.5000 0.5000
3 Sn 0.2500 0.2500 0.2500
4 Ir 0.7500 0.7500 0.7500

Values from the calculation:
DFT formation energy: -0.411 eV per atom
symmetry: F-43m, No. 216

---

Record 2
# Ac2PmSn4Ir3

Ac2PmSn4Ir3 after structural relaxation (PBE-GGA, the Alexandria database).

Cell lengths 4.5548, 4.5548, 12.2191 Å; angles 90.00, 90.00, 90.00 degrees
Positions (direct):
1 Ac 0.0000 0.5000 0.2279
2 Ac 0.5000 0.0000 0.7721
3 Pm 0.0000 0.0000 0.5000
4 Sn 0.0000 0.0000 0.0000
5 Sn 0.0000 0.5000 0.6630
6 Sn 0.5000 0.0000 0.3370
7 Sn 0.5000 0.5000 0.0000
8 Ir 0.0000 0.5000 0.8794
9 Ir 0.5000 0.0000 0.1206
10 Ir 0.5000 0.5000 0.5000

Values from the calculation:
DFT formation energy: -0.577 eV per atom
symmetry: P-4m2, No. 115

---

Record 3
# Ac2PmSn3Ir4

Ac2PmSn3Ir4 after structural relaxation (PBE-GGA, the Alexandria database).

Cell lengths 4.5092, 4.5092, 11.7451 Å; angles 90.00, 90.00, 90.00 degrees
Positions (direct):
1 Ac 0.0000 0.5000 0.2357
2 Ac 0.5000 0.0000 0.7643
3 Pm 0.0000 0.0000 0.5000
4 Sn 0.0000 0.5000 0.8779
5 Sn 0.5000 0.0000 0.1221
6 Sn 0.5000 0.5000 0.5000
7 Ir 0.0000 0.0000 0.0000
8 Ir 0.0000 0.5000 0.6514
9 Ir 0.5000 0.0000 0.3486
10 Ir 0.5000 0.5000 0.0000

Values from the calculation:
DFT formation energy: -0.616 eV per atom
symmetry: P-4m2, No. 115

---

Record 4
# AcPmThIr2

AcPmThIr2 after structural relaxation (PBE-GGA, the Alexandria database).

Cell lengths 7.9555, 7.9555, 11.2495 Å; angles 128.65, 128.65, 33.23 degrees
Positions (direct):
1 Ac 0.0410 0.0410 0.2206
2 Ac 0.9590 0.9590 0.7794
3 Pm 0.2570 0.2570 0.8752
4 Pm 0.7430 0.7430 0.1248
5 Th 0.3642 0.3642 0.4502
6 Th 0.6358 0.6358 0.5498
7 Ir 0.2694 0.2694 0.6166
8 Ir 0.4013 0.4013 0.2297
9 Ir 0.5987 0.5987 0.7703
10 Ir 0.7306 0.7306 0.3834

Values from the calculation:
DFT formation energy: -0.681 eV per atom
symmetry: C2/m, No. 12

---

Record 5
# AcPrIr

AcPrIr after structural relaxation (PBE-GGA, the Alexandria database).

Cell lengths 6.1753, 4.4448, 7.6755 Å; angles 90.00, 109.84, 90.00 degrees
Positions (direct):
1 Ac 0.2299 0.2500 0.4394
2 Ac 0.7701 0.7500 0.5606
3 Pr 0.2569 0.2500 0.9450
4 Pr 0.7431 0.7500 0.0550
5 Ir 0.3155 0.7500 0.7185
6 Ir 0.6845 0.2500 0.2815

Values from the calculation:
DFT formation energy: -0.514 eV per atom
symmetry: P2_1/m, No. 11

---

Record 6
# AcPrIr

AcPrIr after structural relaxation (PBE-GGA, the Alexandria database).

Cell lengths 7.3983, 7.3983, 7.3983 Å; angles 151.01, 151.01, 41.47 degrees
Positions (direct):
1 Ac 0.0000 0.0000 0.0000
2 Pr 0.7550 0.7550 0.0000
3 Ir 0.3710 0.3710 0.0000

Values from the calculation:
DFT formation energy: -0.352 eV per atom
symmetry: I4mm, No. 107

---

The highest DFT formation energy belongs to which entry?
number 6

---

The highest DFT formation energy belongs to which entry?
number 6

---

Which of these has the highest DFT formation energy?
number 6